An optimized crystal structure of Rb2ZnSiO4. Source: Alexandria, functional PBE.

Properties
Density of states at the Fermi level (states/eV/cell): 0.0
Space group: No. 70
ΔE_f (raw) (eV/atom): -1.981
Size of the total moment (μB/f.u.): 0.0

Lattice parameters (Å, degrees): 5.0418 6.4667 10.7328 84.75 76.42 67.06
Fractional coordinates of all 16 atoms:
O1 0.4169 0.6607 0.4137
O2 0.8277 0.8393 0.9137
Rb1 0.8259 0.0000 0.3481
O3 0.4914 0.3393 0.5863
O4 0.5807 0.1607 0.0863
Zn1 0.0000 0.0000 0.0000
Rb2 0.9241 0.5000 0.1519
Rb3 0.5759 0.5000 0.8481
Rb4 0.1741 0.0000 0.6519
O5 0.3331 0.8393 0.0863
O6 0.2586 0.1607 0.9137
O7 0.9223 0.6607 0.5863
Si1 0.2500 0.5000 0.5000
Si2 0.5000 0.0000 0.0000
Zn2 0.7500 0.5000 0.5000
O8 0.1693 0.3393 0.4137